No. 1
Li4Ac2SnPb2: optimized geometry, GGA-PBE.

The formation energy comes out at -0.35 eV per atom.

The structure belongs to space group I4/mmm (No. 139); the cell edges are 6.812, 6.812 and 10.639 Å and the angles 90.00°, 90.00° and 90.00°. The distinct sites, in fractional coordinates, are Li at (0.219, 0.219, 0.000), Ac at (0.000, 0.500, 0.250), Sn at (0.000, 0.000, 0.500) and Pb at (0.000, 0.000, 0.182).

No. 2
CsNaCa3: optimized geometry, GGA-PBE.

The formation energy comes out at 0.93 eV per atom. The calculation puts the energy above the most stable polymorph in this dataset at 588 meV per atom.

The structure belongs to space group Pm-3m (No. 221); the cell edges are 6.471, 6.471 and 6.471 Å and the angles 90.00°, 90.00° and 90.00°. The distinct sites, in fractional coordinates, are Cs at (0.000, 0.000, 0.000), Na at (0.500, 0.500, 0.500) and Ca at (0.000, 0.000, 0.500).

No. 3
BaPd3S3: optimized geometry, GGA-PBE.

For the uncorrected formation energy, the calculation gives -0.647 eV per atom.

The structure belongs to space group Pm-3n (No. 223); the cell edges are 6.737, 6.737 and 6.737 Å and the angles 90.00°, 90.00° and 90.00°. The distinct sites, in fractional coordinates, are Ba at (0.000, 0.000, 0.000), Pd at (0.000, 0.250, 0.500) and S at (0.000, 0.500, 0.250).

No. 4
ZnInGa: optimized geometry, GGA-PBE.

The formation energy comes out at 0.07 eV per atom.

The structure belongs to space group P-1 (No. 2); the cell edges are 2.906, 5.405 and 8.346 Å and the angles 104.96°, 99.26° and 93.80°. The distinct sites, in fractional coordinates, are Zn at (0.181, 0.408, 0.363), In at (0.331, 0.118, 0.698) and Ga at (0.462, 0.721, 0.931).

The records above give, respectively, magnetic moment values of 0.00; 3.85; 0.00; 0.00 μB/f.u..
The records above give, respectively, electronic total energy values of -0.2485; -0.0516; -0.3613; -0.1676 Ry/atom.
The records above give, respectively, Fermi-level density of states values of 5.24; 4.83; 6.88; 2.18 states/eV/cell.